{
  "formula": "Cs2AcMo2O7",
  "functional": "PBE with a Hubbard U",
  "state": "relaxed",
  "lattice_angstrom": [[-2.700, 0.631, 3.118], [2.764, -1.472, 2.757], [4.333, 10.490, 4.454]],
  "species": ["Cs", "Cs", "Ac", "Mo", "Mo", "O", "O", "O", "O", "O", "O", "O"],
  "frac_coords": [[0.813, 0.813, 0.373], [0.187, 0.187, 0.627], [0.000, 0.000, 0.000], [0.587, 0.587, 0.826], [0.413, 0.413, 0.174], [0.500, 0.500, 0.000], [0.334, 0.334, 0.331], [0.666, 0.666, 0.669], [0.924, 0.424, 0.151], [0.424, 0.924, 0.151], [0.576, 0.076, 0.849], [0.076, 0.576, 0.849]],
  "total_energy_ev_per_cell": -79.6,
  "spacegroup": "Fmmm (69)"
}